[1]
# Ca3InHg7

A relaxed Ca3InHg7 crystal (PBE, Alexandria via LeMat-Bulk).

```
Ca3InHg7
1.0
-2.626 1.740 2.323
-5.223 -15.184 2.175
6.924 -1.138 8.679
Hg Ca In
14 6 2
direct
0.371 0.743 0.056 Hg
0.483 0.966 0.123 Hg
0.277 0.553 0.062 Hg
0.629 0.257 0.944 Hg
0.723 0.447 0.938 Hg
0.517 0.034 0.877 Hg
0.611 0.223 0.250 Hg
0.277 0.553 0.438 Hg
0.629 0.257 0.556 Hg
0.483 0.966 0.377 Hg
0.723 0.447 0.562 Hg
0.389 0.777 0.750 Hg
0.517 0.034 0.623 Hg
0.371 0.743 0.444 Hg
0.938 0.876 0.569 Ca
0.938 0.876 0.931 Ca
0.062 0.124 0.069 Ca
0.819 0.638 0.250 Ca
0.181 0.362 0.750 Ca
0.062 0.124 0.431 Ca
0.921 0.842 0.250 In
0.079 0.158 0.750 In
```

Computed properties:
Energy relative to the elements ... -0.25 eV per atom

[2]
# Sr3LiRe2N6

A relaxed Sr3LiRe2N6 crystal (PBE, Alexandria via LeMat-Bulk).

```
Sr3LiRe2N6
1.0
5.967 0.000 0.000
-2.984 5.168 0.000
0.000 0.000 6.814
Sr Re N Li
3 2 6 1
direct
0.667 0.333 0.326 Sr
0.000 0.000 0.000 Sr
0.333 0.667 0.674 Sr
0.667 0.333 0.795 Re
0.333 0.667 0.205 Re
0.169 0.831 0.287 N
0.338 0.169 0.713 N
0.662 0.831 0.287 N
0.831 0.662 0.713 N
0.169 0.338 0.287 N
0.831 0.169 0.713 N
0.000 0.000 0.500 Li
```

Computed properties:
Energy relative to the elements, uncorrected ... -0.524 eV/atom

[3]
# VCrHRh2

A relaxed VCrHRh2 crystal (PBE, Alexandria via LeMat-Bulk).

```
VCrHRh2
1.0
3.850 0.000 0.000
0.000 3.850 0.000
0.000 0.000 3.817
H Rh V Cr
1 2 1 1
direct
0.000 0.000 0.000 H
0.000 0.500 0.000 Rh
0.500 0.000 0.000 Rh
0.500 0.500 0.500 V
0.000 0.000 0.500 Cr
```

Computed properties:
Energy above the lowest structure with this stoichiometry ... 0.000 eV per formula unit

[4]
# Na3Nd3HfS8

A relaxed Na3Nd3HfS8 crystal (PBE, Alexandria via LeMat-Bulk).

```
Na3Nd3HfS8
1.0
8.099 0.000 0.000
-4.049 7.014 -0.025
0.000 -4.654 6.758
S Nd Na Hf
8 3 3 1
direct
0.225 0.993 0.717 S
0.768 0.993 0.717 S
0.225 0.450 0.717 S
0.745 0.490 0.735 S
0.255 0.510 0.265 S
0.775 0.007 0.283 S
0.775 0.550 0.283 S
0.232 0.007 0.283 S
0.000 0.500 0.500 Nd
0.500 0.500 0.500 Nd
0.500 0.000 0.500 Nd
0.000 0.000 0.000 Na
0.500 0.500 0.000 Na
0.000 0.500 0.000 Na
0.000 0.000 0.500 Hf
```

Computed properties:
Energy relative to the elements, uncorrected ... -1.749 eV/atom

[5]
# PuUTlO6

A relaxed PuUTlO6 crystal (PBE, Alexandria via LeMat-Bulk).

```
PuUTlO6
1.0
7.831 0.000 0.000
0.000 7.990 0.000
-3.915 -3.995 5.625
Tl O U Pu
2 12 2 2
direct
0.059 0.309 0.118 Tl
0.941 0.691 0.882 Tl
0.811 0.683 0.242 O
0.431 0.683 0.242 O
0.561 0.311 0.122 O
0.569 0.317 0.758 O
0.431 0.059 0.242 O
0.189 0.317 0.758 O
0.439 0.689 0.878 O
0.189 0.941 0.758 O
0.821 0.071 0.642 O
0.569 0.941 0.758 O
0.179 0.929 0.358 O
0.811 0.059 0.242 O
0.500 0.000 0.000 U
0.500 0.500 0.000 U
0.500 0.000 0.500 Pu
0.000 0.000 0.500 Pu
```

Computed properties:
Energy relative to the elements, uncorrected ... -2.571 eV/atom

[6]
# LaPmPuCd

A relaxed LaPmPuCd crystal (PBE, Alexandria via LeMat-Bulk).

```
LaPmPuCd
1.0
-4.323 -1.299 -3.218
0.839 -1.789 -5.180
-0.996 -5.297 -1.299
La Pm Pu Cd
1 1 1 1
direct
0.250 0.250 0.250 La
0.500 0.500 0.500 Pm
0.750 0.750 0.750 Pu
0.000 0.000 0.000 Cd
```

Computed properties:
Energy relative to the elements ... 0.13 eV per atom

[7]
# NdTmIrAu

A relaxed NdTmIrAu crystal (PBE, Alexandria via LeMat-Bulk).

```
NdTmIrAu
1.0
5.022 0.000 0.000
2.511 4.349 0.000
2.511 1.450 4.100
Au Nd Tm Ir
1 1 1 1
direct
0.500 0.500 0.500 Au
0.250 0.250 0.250 Nd
0.750 0.750 0.750 Tm
0.000 0.000 0.000 Ir
```

Computed properties:
Energy relative to the elements ... -0.75 eV per atom

[8]
# SbRuW3

A relaxed SbRuW3 crystal (PBE, Alexandria via LeMat-Bulk).

```
SbRuW3
1.0
-4.774 -0.357 0.314
0.340 -4.778 -0.264
0.333 -0.240 4.780
Sb W Ru
1 3 1
direct
0.000 0.000 0.000 Sb
0.000 0.000 0.500 W
0.500 0.000 0.000 W
0.000 0.500 0.000 W
0.500 0.500 0.500 Ru
```

Computed properties:
Energy above the lowest structure with this stoichiometry ... 5.410 eV per formula unit
Energy relative to the elements, uncorrected ... 2.890 eV/atom

[9]
# Na3GaFe

A relaxed Na3GaFe crystal (PBE, Alexandria via LeMat-Bulk).

```
Na3GaFe
1.0
5.529 0.000 0.000
0.000 5.529 0.000
0.000 0.000 5.529
Ga Na Fe
1 3 1
direct
0.000 0.000 0.000 Ga
0.500 0.000 0.000 Na
0.000 0.500 0.000 Na
0.000 0.000 0.500 Na
0.500 0.500 0.500 Fe
```

Computed properties:
Energy above the lowest structure with this stoichiometry ... 0.122 eV per formula unit
Energy relative to the elements ... 0.93 eV per atom

[10]
# PrScGe

A relaxed PrScGe crystal (PBE, Alexandria via LeMat-Bulk).

```
PrScGe
1.0
-2.871 2.249 2.076
-3.340 -1.833 -2.632
1.233 -2.074 3.953
Ge Sc Pr
1 1 1
direct
0.165 0.000 0.000 Ge
0.168 0.333 0.667 Sc
0.667 0.667 0.333 Pr
```

Computed properties:
Energy above the lowest structure with this stoichiometry ... 0.535 eV per formula unit
Energy relative to the elements ... -0.54 eV per atom

[11]
# Mn2GeBr6

A relaxed Mn2GeBr6 crystal (PBE, Alexandria via LeMat-Bulk).

```
Mn2GeBr6
1.0
-3.008 -2.524 0.148
2.760 -3.695 -6.909
5.372 -2.949 6.737
Br Mn Ge
6 2 1
direct
0.334 0.889 0.668 Br
0.010 0.249 0.019 Br
0.666 0.111 0.332 Br
0.990 0.751 0.981 Br
0.327 0.435 0.653 Br
0.673 0.565 0.347 Br
0.168 0.337 0.336 Mn
0.832 0.663 0.664 Mn
0.500 0.000 0.000 Ge
```

Computed properties:
Energy relative to the elements, uncorrected ... -0.710 eV/atom

[12]
# LaCoPt2

A relaxed LaCoPt2 crystal (PBE, Alexandria via LeMat-Bulk).

```
LaCoPt2
1.0
3.663 0.000 0.000
0.000 2.970 0.054
0.000 2.850 6.828
Pt Co La
2 1 1
direct
0.000 0.552 0.449 Pt
0.000 0.948 0.051 Pt
0.500 0.250 0.250 Co
0.500 0.750 0.750 La
```

Computed properties:
Energy relative to the elements ... -0.37 eV per atom

Number 1: V 703 Å³ per cell, final energy -0.0454 hartree per atom. Number 2: V 210 Å³ per cell, final energy -0.2698 hartree per atom. Number 3: V 57 Å³ per cell, final energy -0.2772 hartree per atom. Number 4: V 383 Å³ per cell, final energy -0.2143 hartree per atom. Number 5: V 352 Å³ per cell, final energy -0.3302 hartree per atom. Number 6: V 120 Å³ per cell, final energy -0.2242 hartree per atom. Number 7: V 90 Å³ per cell, final energy -0.2239 hartree per atom. Number 8: V 110 Å³ per cell, final energy -0.2779 hartree per atom. Number 9: V 169 Å³ per cell, final energy -0.0795 hartree per atom. Number 10: V 78 Å³ per cell, final energy -0.2124 hartree per atom. Number 11: V 278 Å³ per cell, final energy -0.1608 hartree per atom. Number 12: V 74 Å³ per cell, final energy -0.2350 hartree per atom.